VASP calculation (PBE+U) on a relaxed structure of RbInMo2O8.

Cell: 5.548 5.548 9.070 Å, 72.19 72.19 60.00°
Sites, in units of the cell vectors:
Rb 0.500 0.500 0.500
In 0.000 0.000 0.000
Mo 0.262 0.262 0.214
Mo 0.738 0.738 0.786
O 0.193 0.193 0.421
O 0.613 0.242 0.150
O 0.807 0.807 0.579
O 0.995 0.613 0.150
O 0.005 0.387 0.850
O 0.242 0.995 0.150
O 0.758 0.005 0.850
O 0.387 0.758 0.850

## Properties
The calculation puts the energy relative to the lowest polymorph listed for this composition at 22 meV/atom. Its volume is 226.24 Å³ per cell. The value obtained for the density of states at the Fermi level is 0.000 states/eV/atom. The value obtained for the total energy is -6.481 eV per atom. The mass density comes out at 3818 kg/m3.

VASP calculation (PBE+U) on a relaxed structure of In2MoRhO.

Cell: 5.086 4.950 5.086 Å, 90.00 90.00 90.00°
Last column: magnetic moment on the atom in μB.
Sites, in units of the cell vectors:
Mo 0.000 0.500 0.000  3.26
Rh 0.000 0.000 0.000  -0.19
O 0.500 0.500 0.500  -0.45
In 0.000 0.000 0.500  -0.06
In 0.500 0.000 0.000  -0.02

## Properties
Its volume is 128.05 Å³ per cell. The value obtained for the density of states at the Fermi level is 0.729 states/eV/atom. The value obtained for the total energy is -4.281 eV per atom. The mass density comes out at 5764 kg/m3.

VASP calculation (PBE+U) on a relaxed structure of InSbMoO6.

Cell: 4.812 4.812 9.737 Å, 90.00 90.00 90.00°
Last column: magnetic moment on the atom in μB.
Sites, in units of the cell vectors:
In 0.500 0.500 0.168  0.02
In 0.000 0.000 0.668  0.02
Sb 0.500 0.500 0.833  0.03
Sb 0.000 0.000 0.333  0.03
Mo 0.500 0.500 0.499  1.87
Mo 0.000 0.000 0.999  1.87
O 0.199 0.801 0.490  -0.01
O 0.801 0.199 0.490  -0.01
O 0.301 0.301 0.990  -0.01
O 0.699 0.699 0.990  -0.01
O 0.185 0.815 0.170  0.01
O 0.815 0.185 0.170  0.01
O 0.315 0.315 0.670  0.01
O 0.685 0.685 0.670  0.01
O 0.795 0.205 0.840  0.01
O 0.205 0.795 0.840  0.01
O 0.705 0.705 0.340  0.01
O 0.295 0.295 0.340  0.01

## Properties
Its volume is 225.48 Å³ per cell. The value obtained for the total energy is -6.433 eV per atom. The mass density comes out at 6312 kg/m3.

VASP calculation (PBE+U) on a relaxed structure of SmIn2MoO8.

Cell: 4.945 4.944 6.765 Å, 90.00 90.00 90.49°
Last column: magnetic moment on the atom in μB.
Sites, in units of the cell vectors:
Sm 0.000 0.000 0.500  0.02
In 0.500 0.500 0.761  -0.01
In 0.500 0.500 0.239  -0.01
Mo 0.000 0.000 0.000  -0.05
O 0.187 0.812 0.209  0.04
O 0.714 0.715 0.000  0.07
O 0.813 0.188 0.209  0.04
O 0.813 0.188 0.791  0.04
O 0.286 0.285 0.000  0.07
O 0.187 0.812 0.791  0.04
O 0.679 0.681 0.500  0.27
O 0.321 0.319 0.500  0.27

## Properties
Its volume is 165.41 Å³ per cell. The value obtained for the density of states at the Fermi level is 0.310 states/eV/atom. The value obtained for the total energy is -6.539 eV per atom. The mass density comes out at 6063 kg/m3.

VASP calculation (PBE+U) on a relaxed structure of SrInMo2O8.

Cell: 5.382 5.382 7.848 Å, 69.95 69.95 60.00°
Last column: magnetic moment on the atom in μB.
Sites, in units of the cell vectors:
Sr 0.500 0.500 0.500  0.00
In 0.000 0.000 0.000  0.10
Mo 0.254 0.254 0.239  0.50
Mo 0.746 0.746 0.761  0.50
O 0.171 0.171 0.486  -0.03
O 0.604 0.280 0.176  -0.01
O 0.829 0.829 0.514  -0.03
O 0.940 0.604 0.176  -0.01
O 0.060 0.396 0.824  -0.01
O 0.280 0.940 0.176  -0.01
O 0.720 0.060 0.824  -0.01
O 0.396 0.720 0.824  -0.01

## Properties
Its volume is 180.78 Å³ per cell. The value obtained for the density of states at the Fermi level is 0.325 states/eV/atom. The value obtained for the total energy is -6.549 eV per atom. The mass density comes out at 4798 kg/m3.

VASP calculation (PBE+U) on a relaxed structure of Ta2InMoO.

Cell: 4.288 4.294 4.288 Å, 90.00 90.00 90.00°
Last column: magnetic moment on the atom in μB.
Sites, in units of the cell vectors:
Mo 0.000 0.500 0.000  0.25
In 0.500 0.500 0.500  0.00
O 0.000 0.000 0.000  0.01
Ta 0.000 0.000 0.500  -0.06
Ta 0.500 0.000 0.000  -0.06

## Properties
Its volume is 78.95 Å³ per cell. The value obtained for the density of states at the Fermi level is 0.565 states/eV/atom. The value obtained for the total energy is -7.855 eV per atom. The mass density comes out at 12380 kg/m3.

VASP calculation (PBE+U) on a relaxed structure of TbIn2MoO8.

Cell: 4.941 4.940 6.683 Å, 90.00 90.00 90.78°
Last column: magnetic moment on the atom in μB.
Sites, in units of the cell vectors:
Tb 0.000 0.000 0.500  0.06
In 0.500 0.500 0.758  -0.01
In 0.500 0.500 0.242  -0.01
Mo 0.000 0.000 0.000  -0.06
O 0.186 0.814 0.213  0.04
O 0.713 0.714 0.000  0.09
O 0.814 0.186 0.213  0.04
O 0.814 0.186 0.787  0.04
O 0.287 0.286 0.000  0.09
O 0.186 0.814 0.787  0.04
O 0.684 0.685 0.500  0.24
O 0.316 0.315 0.500  0.24

## Properties
Its volume is 163.09 Å³ per cell. The value obtained for the density of states at the Fermi level is 0.375 states/eV/atom. The value obtained for the total energy is -6.554 eV per atom. The mass density comes out at 6236 kg/m3.

VASP calculation (PBE+U) on a relaxed structure of TiInMoO6.

Cell: 4.744 4.744 9.531 Å, 90.00 90.00 90.00°
Last column: magnetic moment on the atom in μB.
Sites, in units of the cell vectors:
Ti 0.500 0.500 0.828  0.04
Ti 0.000 0.000 0.328  0.04
In 0.500 0.500 0.167  0.02
In 0.000 0.000 0.667  0.02
Mo 0.500 0.500 0.500  1.00
Mo 0.000 0.000 0.000  1.00
O 0.210 0.790 0.488  -0.03
O 0.790 0.210 0.488  -0.03
O 0.290 0.290 0.988  -0.03
O 0.710 0.710 0.988  -0.03
O 0.183 0.817 0.170  0.00
O 0.817 0.183 0.170  0.00
O 0.317 0.317 0.670  0.00
O 0.683 0.683 0.670  0.00
O 0.791 0.209 0.845  0.00
O 0.209 0.791 0.845  0.00
O 0.709 0.709 0.345  0.00
O 0.291 0.291 0.345  0.00

## Properties
Its volume is 214.49 Å³ per cell. The value obtained for the density of states at the Fermi level is 0.000 states/eV/atom. The value obtained for the total energy is -7.333 eV per atom. The mass density comes out at 5491 kg/m3.

VASP calculation (PBE+U) on a relaxed structure of Tl2InMoO.

Cell: 5.570 5.467 5.570 Å, 90.00 90.00 90.00°
Last column: magnetic moment on the atom in μB.
Sites, in units of the cell vectors:
Tl 0.000 0.000 0.500  0.07
Tl 0.500 0.000 0.000  0.00
Mo 0.000 0.000 0.000  3.07
O 0.500 0.500 0.500  0.96
In 0.000 0.500 0.000  0.01

## Properties
Its volume is 169.59 Å³ per cell. The value obtained for the density of states at the Fermi level is 0.603 states/eV/atom. The value obtained for the total energy is -2.951 eV per atom. The mass density comes out at 6223 kg/m3.

VASP calculation (PBE+U) on a relaxed structure of Tl2InMoO6.

Cell: 6.073 6.073 10.325 Å, 72.90 72.90 60.00°
Sites, in units of the cell vectors:
Tl 0.875 0.875 0.376
Tl 0.125 0.125 0.624
Tl 0.738 0.738 0.786
Tl 0.262 0.262 0.214
In 0.602 0.602 0.195
In 0.398 0.398 0.805
Mo 0.000 0.000 0.000
Mo 0.500 0.500 0.500
O 0.835 0.393 0.378
O 0.393 0.835 0.378
O 0.393 0.393 0.378
O 0.165 0.607 0.622
O 0.607 0.165 0.622
O 0.607 0.607 0.622
O 0.741 0.188 0.882
O 0.188 0.741 0.882
O 0.188 0.188 0.882
O 0.259 0.812 0.118
O 0.812 0.259 0.118
O 0.812 0.812 0.118

## Properties
Its volume is 310.15 Å³ per cell. The value obtained for the density of states at the Fermi level is 0.734 states/eV/atom. The value obtained for the total energy is -5.519 eV per atom. The mass density comes out at 7662 kg/m3.

VASP calculation (PBE+U) on a relaxed structure of TmIn2MoO8.

Cell: 4.941 4.939 6.592 Å, 90.00 90.00 91.01°
Last column: magnetic moment on the atom in μB.
Sites, in units of the cell vectors:
Tm 0.000 0.000 0.500  0.05
In 0.500 0.500 0.754  -0.01
In 0.500 0.500 0.246  -0.01
Mo 0.000 0.000 0.000  -0.08
O 0.184 0.815 0.217  0.06
O 0.713 0.714 0.000  0.11
O 0.816 0.185 0.217  0.06
O 0.816 0.185 0.783  0.06
O 0.287 0.286 0.000  0.11
O 0.184 0.815 0.783  0.06
O 0.690 0.691 0.500  0.20
O 0.310 0.309 0.500  0.20

## Properties
Its volume is 160.84 Å³ per cell. The value obtained for the density of states at the Fermi level is 0.570 states/eV/atom. The value obtained for the total energy is -6.560 eV per atom. The mass density comes out at 6427 kg/m3.